[1]
The following is a meta-GGA SCAN calculation of a crystal of Be2FeP relaxed with PBEsol, from Alexandria via LeMat-Bulk.

Lattice parameters (Å, degrees): 3.3339 3.3351 3.2292 90.00 90.00 90.00
Closest atoms and distances in Å follow each position.
Element x y z (fractional)
Be: 0.0000 0.0000 0.0000  4 Fe 2.32, 4 P 2.32, 4 Be 2.36
Be: 0.5000 0.5000 0.0000  4 P 2.32, 4 Fe 2.32, 4 Be 2.36
Fe: 0.5000 0.0000 0.5000  8 Be 2.32, 4 P 2.36
P: 0.0000 0.5000 0.5000  8 Be 2.32, 4 Fe 2.36

Properties
As for the density of states at the Fermi level: 0.32 states/eV per atom. Its symmetry is P4/mmm (123). Its total energy is -9.450 eV/atom. Its crystal system is tetragonal.



[2]
The following is a meta-GGA SCAN calculation of a crystal of Be2FeP relaxed with PBEsol, from Alexandria via LeMat-Bulk.

Lattice parameters (Å, degrees): 2.8428 2.8428 4.5837 90.00 90.00 90.00
Closest atoms and distances in Å follow each position.
Element x y z (fractional)
Fe: 0.0000 0.0000 0.5132  4 P 2.27, 6 Be 2.29-2.39
Be: 0.0000 0.0000 0.0118  4 Be 2.25, 2 Fe 2.29-2.30, 4 P 2.36
Be: 0.5000 0.5000 0.2316  2 P 2.24-2.35, 4 Be 2.25, 4 Fe 2.39
P: 0.5000 0.5000 0.7434  6 Be 2.24-2.36, 4 Fe 2.27

Properties
As for the density of states at the Fermi level: 0.22 states/eV per atom. Its symmetry is P4mm (99). Its total energy is -9.452 eV/atom. Its crystal system is tetragonal.



[3]
The following is a meta-GGA SCAN calculation of a crystal of BeFeP3 relaxed with PBEsol, from Alexandria via LeMat-Bulk.

Lattice parameters (Å, degrees): 4.1466 4.1466 4.1466 90.00 90.00 90.00
Closest atoms and distances in Å follow each position.
Element x y z (fractional)
P: 0.0000 0.5000 0.0000  2 Be 2.07
P: 0.0000 0.0000 0.5000  2 Be 2.07
P: 0.5000 0.0000 0.0000  2 Be 2.07
Be: 0.0000 0.0000 0.0000  6 P 2.07
Fe: 0.5000 0.5000 0.5000  12 P 2.93

Properties
As for the density of states at the Fermi level: 0.78 states/eV per atom. Its symmetry is Pm-3m (221). Its total energy is -9.771 eV/atom. Its crystal system is cubic.



no.,magnetic moment (μB per atom)
1,0.2585
2,0.2490
3,0.5993